*w*
PBE-GGA MnCdPt4, optimized geometry; density of states at the Fermi level = 4.3 states/eV/cell; spin magnetization = 0.57 μB per atom; space group = P4/mmm, No. 123
1.0
3.8388 0.0001 -0.0015
-0.0001 3.8470 -0.0023
0.0030 0.0044 7.5814
Pt Cd Mn
4 1 1
Direct
0.5013 0.9973 0.7209
0.0013 0.4973 0.2758
0.0013 0.4973 0.7205
0.5013 0.9973 0.2754
0.5013 0.4973 0.9981
0.0013 0.9973 0.4982

*x*
PBE-GGA MnCdPt4, optimized geometry; density of states at the Fermi level = 4.6 states/eV/cell; spin magnetization = 0.67 μB per atom; space group = F-43m, No. 216
1.0
1.8908 -4.0701 2.8194
-2.3581 -4.7383 -0.2774
2.4215 -4.0255 -2.4537
Cd Pt Mn
1 4 1
Direct
0.2500 0.2500 0.2500
0.6250 0.6250 0.1250
0.6250 0.6250 0.6250
0.6250 0.1250 0.6250
0.1250 0.6250 0.6250
0.0000 0.0000 0.0000

Stability check: which of them is least stable? *w*.

*w*
PBE-GGA RbMnCd2, optimized geometry; density of states at the Fermi level = 2.6 states/eV/cell; spin magnetization = 1.05 μB per atom; space group = Fm-3m, No. 225
1.0
-3.7036 -3.7549 1.4237
-4.0241 1.3057 3.4562
-5.1365 0.4040 -1.8157
Cd Mn Rb
2 1 1
Direct
0.2500 0.2500 0.2500
0.7500 0.7500 0.7500
0.0000 0.0000 0.0000
0.5000 0.5000 0.5000

*x*
PBE-GGA RbMnCd2, optimized geometry; density of states at the Fermi level = 4.9 states/eV/cell; spin magnetization = 1.03 μB per atom; space group = I4_1/amd, No. 141
1.0
-2.5549 -0.1117 -5.2124
-5.0813 -1.2458 2.5174
-5.6991 8.4605 -0.6213
Mn Cd Rb
2 4 2
Direct
0.5000 0.5000 0.0000
0.2500 0.7500 0.5000
0.3742 0.6250 0.2500
0.3750 0.6242 0.7500
0.3758 0.1250 0.2500
0.8750 0.6258 0.7500
0.0000 0.0000 0.0000
0.7500 0.2500 0.5000

Stability check: which of them is least stable? *w*.

*w*
PBE-GGA RbMnCd3, optimized geometry; density of states at the Fermi level = 5.0 states/eV/cell; spin magnetization = 0.74 μB per atom; space group = Pm-3m, No. 221
1.0
5.3911 0.0000 0.0000
0.0000 5.3911 0.0000
0.0000 0.0000 5.3911
Rb Cd Mn
1 3 1
Direct
0.5000 0.5000 0.5000
0.5000 0.0000 0.0000
0.0000 0.5000 0.0000
0.0000 0.0000 0.5000
0.0000 0.0000 0.0000

*x*
PBE-GGA RbMnCd3, optimized geometry; density of states at the Fermi level = 10.6 states/eV/cell; spin magnetization = 0.90 μB per atom; space group = Pm-3m, No. 221
1.0
6.8715 0.0000 0.0000
0.0000 6.8715 0.0000
0.0000 0.0000 6.8715
Mn Cd Rb
1 3 1
Direct
0.5000 0.5000 0.5000
0.0000 0.0000 0.5000
0.5000 0.0000 0.0000
0.0000 0.5000 0.0000
0.0000 0.0000 0.0000

Stability check: which of them is least stable? *x*.

*w*
PBE-GGA MnCdRe, optimized geometry; density of states at the Fermi level = 1.8 states/eV/cell; spin magnetization = 0.80 μB per atom; space group = Fmm2, No. 42
1.0
7.1602 -0.0069 0.0050
6.4497 2.6488 0.0010
0.7105 -0.8054 2.5305
Mn Cd Re
1 1 1
Direct
0.6785 0.6785 0.3215
0.0042 0.0042 0.9958
0.3173 0.3173 0.6827

*x*
PBE-GGA MnCdRe, optimized geometry; density of states at the Fermi level = 1.6 states/eV/cell; spin magnetization = 0.00 μB per atom; space group = I4mm, No. 107
1.0
-0.8208 3.9491 4.3623
-3.5115 4.5987 1.3492
0.8455 -5.5477 -1.9510
Re Mn Cd
1 1 1
Direct
0.6943 0.6943 0.0000
0.3114 0.3114 0.0000
0.9943 0.9943 0.0000

*y*
PBE-GGA MnCdRe, optimized geometry; density of states at the Fermi level = 1.2 states/eV/cell; spin magnetization = 0.60 μB per atom; space group = F-43m, No. 216
1.0
-2.9423 -0.0422 -2.9985
-1.3315 -3.6557 -1.5851
-3.8696 -1.3833 0.8734
Mn Cd Re
1 1 1
Direct
0.2500 0.2500 0.2500
0.5000 0.5000 0.5000
0.0000 0.0000 0.0000

Stability check: which of them is least stable? *y*.

*w*
PBE-GGA Mn2CdRu2, optimized geometry; density of states at the Fermi level = 4.7 states/eV/cell; spin magnetization = 0.08 μB per atom; space group = I4/mmm, No. 139
1.0
4.0054 0.0000 0.0000
0.0000 4.0054 0.0000
2.0027 2.0027 4.7082
Mn Cd Ru
2 1 2
Direct
0.6086 0.6086 0.7827
0.3914 0.3914 0.2173
0.0000 0.0000 0.0000
0.7500 0.2500 0.5000
0.2500 0.7500 0.5000

*x*
PBE-GGA Mn2CdRu2, optimized geometry; density of states at the Fermi level = 9.1 states/eV/cell; spin magnetization = 0.54 μB per atom; space group = P4/mbm, No. 127
1.0
-1.5837 7.1721 0.3549
-4.1745 -1.2152 5.9304
2.1415 0.3943 1.5883
Mn Ru Cd
4 4 2
Direct
0.1631 0.6631 0.5000
0.3369 0.1631 0.5000
0.6631 0.8369 0.5000
0.8369 0.3369 0.5000
0.3718 0.8718 0.0000
0.1282 0.3718 0.0000
0.8718 0.6282 0.0000
0.6282 0.1282 0.0000
0.5000 0.5000 0.0000
0.0000 0.0000 0.0000

Stability check: which of them is least stable? *w*.

*w*
PBE-GGA MnCd4S5, optimized geometry; spin magnetization = 0.50 μB per atom; space group = Cm, No. 8
1.0
-1.1206 3.1063 -10.4669
6.5399 -5.8221 6.6178
-3.6562 -5.5304 -1.2508
S Cd Mn
10 8 2
Direct
0.9334 0.3345 0.0192
0.6607 0.2497 0.4920
0.0811 0.8707 0.4932
0.1315 0.1315 0.9968
0.7344 0.5316 0.9966
0.3345 0.9334 0.0192
0.8707 0.0811 0.4932
0.5316 0.7344 0.9966
0.4732 0.4732 0.4956
0.2497 0.6607 0.4920
0.8674 0.0711 0.8740
0.1337 0.1337 0.3773
0.4680 0.4680 0.8754
0.0711 0.8674 0.8740
0.2614 0.6652 0.8734
0.5296 0.7375 0.3773
0.7375 0.5296 0.3773
0.6652 0.2614 0.8734
0.3338 0.9310 0.3768
0.9310 0.3338 0.3768

*x*
PBE-GGA MnCd4S5, optimized geometry; density of states at the Fermi level = 0.2 states/eV/cell; spin magnetization = 0.50 μB per atom; space group = R3m, No. 160
1.0
-6.1473 2.6719 15.7010
-3.1124 0.0583 16.7857
-2.3207 4.1138 16.4055
S Cd Mn
5 4 1
Direct
0.1487 0.1487 0.1487
0.5501 0.5501 0.5501
0.7469 0.7469 0.7469
0.9515 0.9515 0.9515
0.3531 0.3531 0.3531
0.7976 0.7976 0.7976
0.6006 0.6006 0.6006
0.0020 0.0020 0.0020
0.1992 0.1992 0.1992
0.4004 0.4004 0.4004

Stability check: which of them is least stable? *x*.

*w*
PBE-GGA Mn4CdS5, optimized geometry; density of states at the Fermi level = 4.0 states/eV/cell; spin magnetization = 1.95 μB per atom; space group = I4/m, No. 87
1.0
-4.1502 4.1502 2.6259
4.1502 -4.1502 2.6259
4.1502 4.1502 -2.6259
S Mn Cd
5 4 1
Direct
0.1054 0.6898 0.7953
0.3102 0.1054 0.4156
0.8946 0.3102 0.2047
0.5000 0.5000 0.0000
0.6898 0.8946 0.5844
0.6040 0.1992 0.8032
0.1992 0.3960 0.5952
0.8008 0.6040 0.4048
0.3960 0.8008 0.1968
0.0000 0.0000 0.0000

*x*
PBE-GGA Mn4CdS5, optimized geometry; density of states at the Fermi level = 3.9 states/eV/cell; spin magnetization = 1.82 μB per atom; space group = R-3m, No. 166
1.0
-7.2644 0.4533 13.3631
-7.9858 -3.0446 12.5899
-4.8605 -2.1492 14.2585
Cd Mn S
1 4 5
Direct
0.0000 0.0000 0.0000
0.4037 0.4037 0.4037
0.1987 0.1987 0.1987
0.8013 0.8013 0.8013
0.5963 0.5963 0.5963
0.1030 0.1030 0.1030
0.5000 0.5000 0.5000
0.2950 0.2950 0.2950
0.7050 0.7050 0.7050
0.8970 0.8970 0.8970

Stability check: which of them is least stable? *w*.